VASP calculation (PBE) on ZnCoTe3 after structural relaxation.

space-group type: Pm-3m
uncorrected energy: -2.59 eV per atom
V: 145 Å³/cell
raw formation energy: 94.1 kJ/mol of atoms
energy above the lowest structure with this stoichiometry: 528 meV/atom

```
ZnCoTe3
1.0
-1.9431 4.7967 0.9064
-2.6867 -0.2363 -4.5090
-4.0757 -2.1310 2.5402
Te Co Zn
3 1 1
direct
0.0000 0.0000 0.5000 Te
0.5000 0.0000 0.0000 Te
0.0000 0.5000 0.0000 Te
0.5000 0.5000 0.5000 Co
0.0000 0.0000 0.0000 Zn
```